A plane-wave DFT calculation with PBE-GGA was carried out for crystalline MgAuSN2 at its relaxed geometry.

Output
As for the total moment: 2.629 μB per formula unit. Its energy above the most stable polymorph in this dataset is 0.0 meV/atom. The value obtained for the uncorrected formation energy is 1235.3 meV/atom. The density of states at the Fermi level is 0.283 states/eV/atom.

Structure (POSCAR):
```
MgAuSN2
1.0
4.0044 0.0000 0.0000
0.0000 4.0044 0.0000
0.0000 0.0000 5.3693
S Au Mg N
1 1 1 2
Direct
0.0000 0.0000 0.5000
0.0000 0.0000 0.0000
0.5000 0.5000 0.5000
0.0000 0.5000 0.0000
0.5000 0.0000 0.0000
```